Compound: VP2BrO
Source: the Alexandria database
Functional: PBE+U
Structure: relaxed

Lattice parameters (Å, degrees): 4.991 4.991 3.620 90.00 90.00 90.00
Space group P4/mmm (No. 123)
Inequivalent atoms, fractional coordinates:
V 0.000 0.000 0.000
P 0.000 0.500 0.500
Br 0.500 0.500 0.500
O 0.500 0.500 0.000

Properties
Final energy ... -3.734 eV/atom
Density ... 3.8 Mg/m³